Entry 1:
PBE-GGA BaLi4Ag8, relaxed; N(E_F) = 4.18 states/eV per cell; energy = -2.638 eV/atom; calculated formation energy = -146 meV/atom; volume = 19.3 Å³ per atom
1.0
4.969 0.000 1.997
2.484 6.850 0.999
-0.070 0.000 7.354
Ag Li Ba
8 4 1
Cartesian
1.578 4.418 3.255 Ag
4.384 5.282 3.452 Ag
0.837 2.432 5.098 Ag
2.999 1.567 6.898 Ag
5.483 5.282 7.897 Ag
3.321 4.418 6.096 Ag
1.900 1.567 2.453 Ag
4.062 2.432 4.253 Ag
-0.035 0.000 3.677 Li
1.242 3.425 0.499 Li
3.727 3.425 1.498 Li
2.449 0.000 4.676 Li
0.000 0.000 0.000 Ba

Entry 2:
PBE-GGA Hg3SI, relaxed; N(E_F) = 1.66 states/eV per cell; energy relative to the elements, uncorrected = 0.049 eV per atom; energy = -1.267 eV/atom; energy above the most stable polymorph in this dataset = 0 meV per atom; volume = 31.3 Å³ per atom
1.0
5.389 0.000 0.000
0.000 5.389 0.000
0.000 0.000 5.389
Hg I S
3 1 1
Cartesian
2.694 0.000 0.000 Hg
0.000 2.694 0.000 Hg
0.000 0.000 2.694 Hg
2.694 2.694 2.694 I
0.000 0.000 0.000 S